Run P
# Mn2BO

Mn2BO after structural relaxation (GGA+U, the Alexandria database).

density of states at the Fermi level	0.49	states/eV per cell

a = 4.7725 Å, b = 4.7725 Å, c = 9.7853 Å
α = 90.00°, β = 90.00°, γ = 90.00°
With the nearest neighbours (Å) after each atom.
Space group I-42d (No. 122)
Asymmetric unit:
Mn 0.2402 0.2500 0.1250  2 O 2.06, 2 B 2.11
B 0.0000 0.0000 0.5000  4 Mn 2.11
O 0.0000 0.0000 0.0000  4 Mn 2.06

Run Q
# Mn2BO

Mn2BO after structural relaxation (GGA+U, the Alexandria database).

density of states at the Fermi level	8.01	states/eV per cell

a = 5.5992 Å, b = 5.5992 Å, c = 5.5992 Å
α = 90.00°, β = 90.00°, γ = 90.00°
With the nearest neighbours (Å) after each atom.
Space group Fm-3m (No. 225)
Asymmetric unit:
Mn 0.2500 0.2500 0.2500  4 O 2.42, 4 B 2.42
B 0.0000 0.0000 0.0000  8 Mn 2.42
O 0.0000 0.0000 0.5000  8 Mn 2.42

Least stable: run Q

Run P
# MnB2O4

MnB2O4 after structural relaxation (GGA+U, the Alexandria database).

density of states at the Fermi level	0.00	states/eV per cell

a = 7.2080 Å, b = 7.5439 Å, c = 8.8627 Å
α = 90.00°, β = 94.12°, γ = 90.00°
With the nearest neighbours (Å) after each atom.
Space group P2_1/c (No. 14)
Asymmetric unit:
Mn 0.0030 0.2164 0.1237  5 O 2.14-2.39
Mn 0.4712 0.2419 0.6420  4 O 2.12-2.29
B 0.1824 0.5689 0.1383  4 O 1.47-1.51
B 0.2043 0.0643 0.3682  4 O 1.46-1.50
B 0.3023 0.6003 0.6201  4 O 1.48-1.50
B 0.3129 0.0974 0.8832  4 O 1.47-1.51
O 0.0091 0.0071 0.3269  2 B 1.49-1.51
O 0.1700 0.7479 0.5809  2 B 1.47-1.49
O 0.2225 0.2485 0.3072  2 B 1.47-1.50
O 0.2334 0.0587 0.0313  2 B 1.50
O 0.2573 0.0593 0.5308  2 B 1.46-1.49
O 0.2983 0.5611 0.2848  2 B 1.48-1.49
O 0.3209 0.5574 0.7838  2 B 1.48
O 0.4890 0.6569 0.5806  2 B 1.48-1.51

Run Q
# MnB2O4

MnB2O4 after structural relaxation (GGA+U, the Alexandria database).

density of states at the Fermi level	0.00	states/eV per cell

a = 6.3132 Å, b = 11.6935 Å, c = 12.0256 Å
α = 90.00°, β = 90.00°, γ = 90.00°
With the nearest neighbours (Å) after each atom.
Space group Fddd (No. 70, origin choice 2)
Asymmetric unit:
Mn 0.1250 0.1250 0.1250  4 O 2.06
B 0.0000 0.0000 0.5000  2 O 1.26
O 0.0602 0.2720 0.4742  1 B 1.26

Run R
# MnB2O4

MnB2O4 after structural relaxation (GGA+U, the Alexandria database).

density of states at the Fermi level	0.30	states/eV per cell

a = 6.0143 Å, b = 6.0143 Å, c = 4.1179 Å
α = 90.00°, β = 90.00°, γ = 90.00°
With the nearest neighbours (Å) after each atom.
Space group I4/m (No. 87)
Asymmetric unit:
Mn 0.0000 0.0000 0.0000  4 O 1.97
B 0.0000 0.5000 0.2500  4 O 1.48
O 0.0355 0.6742 0.0000  2 B 1.48

Least stable: run R

Run P
# Mn2BO4

Mn2BO4 after structural relaxation (GGA+U, the Alexandria database).

density of states at the Fermi level	2.72	states/eV per cell

a = 3.0563 Å, b = 3.0563 Å, c = 14.5903 Å
α = 90.00°, β = 90.00°, γ = 90.00°
With the nearest neighbours (Å) after each atom.
Space group I4/mmm (No. 139)
Asymmetric unit:
Mn 0.0000 0.0000 0.1659  5 O 2.17-2.31
B 0.0000 0.0000 0.5000  4 O 1.53
O 0.0000 0.0000 0.3244  5 Mn 2.17-2.31
O 0.0000 0.5000 0.0000  2 B 1.53

Run Q
# Mn2BO4

Mn2BO4 after structural relaxation (GGA+U, the Alexandria database).

a = 3.3149 Å, b = 9.6331 Å, c = 9.9555 Å
α = 90.00°, β = 108.80°, γ = 90.00°
With the nearest neighbours (Å) after each atom.
Space group P2_1/c (No. 14)
Asymmetric unit:
Mn 0.0949 0.0974 0.3208  5 O 2.11-2.25
Mn 0.2897 0.6182 0.5624  4 O 1.95-2.05
B 0.4320 0.1703 0.6333  3 O 1.36-1.40
O 0.1044 0.5111 0.3872  3 Mn 1.95-2.13
O 0.3520 0.2417 0.5051  1 B 1.40
O 0.3603 0.0310 0.6309  1 B 1.36
O 0.4217 0.7412 0.7370  1 B 1.40

Least stable: run P

Run P
# MnB4O7

MnB4O7 after structural relaxation (GGA+U, the Alexandria database).

density of states at the Fermi level	0.00	states/eV per cell

a = 10.9746 Å, b = 6.7197 Å, c = 5.2432 Å
α = 90.00°, β = 90.00°, γ = 90.00°
With the nearest neighbours (Å) after each atom.
Space group Cmcm (No. 63)
Asymmetric unit:
Mn 0.0000 0.2220 0.2500  5 O 2.16
B 0.1194 0.2046 0.7500  4 O 1.43-1.59
B 0.2070 0.5000 0.0000  4 O 1.44-1.57
O 0.0000 0.0999 0.7500  2 B 1.49
O 0.1332 0.3230 0.5242  2 B 1.43-1.44
O 0.2155 0.0271 0.7500  3 B 1.57-1.59

Run Q
# MnB4O7

MnB4O7 after structural relaxation (GGA+U, the Alexandria database).

density of states at the Fermi level	0.00	states/eV per cell

a = 8.2384 Å, b = 8.8093 Å, c = 14.1577 Å
α = 90.00°, β = 90.00°, γ = 90.00°
With the nearest neighbours (Å) after each atom.
Space group Pbca (No. 61)
Asymmetric unit:
Mn 0.1206 0.1055 0.1128  4 O 2.11-2.18
B 0.0043 0.5713 0.1639  4 O 1.44-1.55
B 0.0278 0.1665 0.7649  3 O 1.36-1.39
B 0.0623 0.7102 0.5667  4 O 1.45-1.51
B 0.1897 0.1404 0.4612  3 O 1.35-1.40
O 0.0179 0.6085 0.6481  2 B 1.38-1.51
O 0.0334 0.1772 0.2511  2 B 1.39-1.55
O 0.0694 0.0739 0.6923  2 B 1.36-1.44
O 0.0875 0.2423 0.9906  2 B 1.40-1.50
O 0.1279 0.6496 0.1048  2 B 1.45-1.49
O 0.1483 0.0510 0.3874  2 B 1.35-1.46
O 0.1650 0.6154 0.5075  2 B 1.38-1.45

Least stable: run P

Run P
# MnBPO2

MnBPO2 after structural relaxation (GGA+U, the Alexandria database).

density of states at the Fermi level	2.35	states/eV per cell

a = 3.1817 Å, b = 3.1817 Å, c = 6.5600 Å
α = 90.00°, β = 90.00°, γ = 90.00°
With the nearest neighbours (Å) after each atom.
Space group P4/mmm (No. 123)
Asymmetric unit:
Mn 0.0000 0.0000 0.0000  4 P 2.25
B 0.5000 0.5000 0.5000  4 O 1.59
P 0.5000 0.5000 0.0000  4 Mn 2.25
O 0.0000 0.5000 0.5000  2 B 1.59

Run Q
# MnBPO2

MnBPO2 after structural relaxation (GGA+U, the Alexandria database).

density of states at the Fermi level	2.91	states/eV per cell

a = 3.5526 Å, b = 3.5526 Å, c = 5.2229 Å
α = 90.00°, β = 90.00°, γ = 90.00°
With the nearest neighbours (Å) after each atom.
Space group P4/mmm (No. 123)
Asymmetric unit:
Mn 0.0000 0.0000 0.0000  4 O 1.78
B 0.5000 0.5000 0.5000  4 P 2.51
P 0.0000 0.0000 0.5000  4 B 2.51, 2 Mn 2.61
O 0.0000 0.5000 0.0000  2 Mn 1.78

Least stable: run Q